[1]
# KCd4In2, optimized geometry, DFT GGA-PBE
# Offset from the most stable computed form ... 61.5 meV/atom
# E_form ... 4 meV per atom
data_KCd4In2
_chemical_formula_sum 'K2 Cd8 In4'
_symmetry_space_group_name_H-M 'I m m m'
_symmetry_Int_Tables_number 71
_symmetry_space_group_name_Hall '-I 2 2'
_cell_length_a 3.489
_cell_length_b 4.938
_cell_length_c 22.506
_cell_angle_alpha 90.00
_cell_angle_beta 90.00
_cell_angle_gamma 90.00
loop_
_atom_site_label
_atom_site_fract_x
_atom_site_fract_y
_atom_site_fract_z
K1 0.000 0.000 0.000
Cd1 0.000 0.000 0.420
Cd2 0.000 0.500 0.347
In1 0.000 0.500 0.209

***

[2]
# Tb4TlRu2, optimized geometry, DFT GGA-PBE
# Offset from the most stable computed form ... 15.3 meV/atom
# E_form ... -234 meV per atom
data_Tb4TlRu2
_chemical_formula_sum 'Tb8 Tl2 Ru4'
_symmetry_space_group_name_H-M 'P 1'
_symmetry_Int_Tables_number 1
_cell_length_a 7.182
_cell_length_b 7.183
_cell_length_c 8.024
_cell_angle_alpha 100.47
_cell_angle_beta 108.84
_cell_angle_gamma 108.02
loop_
_symmetry_equiv_pos_as_xyz
'x,y,z'
loop_
_atom_site_label
_atom_site_fract_x
_atom_site_fract_y
_atom_site_fract_z
Tb1 0.000 0.000 0.000
Tb2 0.006 0.376 0.317
Tb3 0.284 0.925 0.471
Tb4 0.391 0.301 0.884
Tb5 0.460 0.856 0.005
Tb6 0.565 0.630 0.606
Tb7 0.846 0.085 0.561
Tb8 0.964 0.494 0.926
Tl1 0.509 0.258 0.297
Tl2 0.781 0.697 0.250
Ru1 0.054 0.823 0.697
Ru2 0.179 0.515 0.688
Ru3 0.341 0.577 0.227
Ru4 0.651 0.078 0.810

***

[3]
# CuNiAg2, optimized geometry, DFT GGA-PBE
# Offset from the most stable computed form ... 70.0 meV/atom
# E_form ... 200 meV per atom
data_CuNiAg2
_chemical_formula_sum 'Cu2 Ni2 Ag4'
_symmetry_space_group_name_H-M 'C m m m'
_symmetry_Int_Tables_number 65
_symmetry_space_group_name_Hall '-C 2 2'
_cell_length_a 5.599
_cell_length_b 7.457
_cell_length_c 2.805
_cell_angle_alpha 90.00
_cell_angle_beta 90.00
_cell_angle_gamma 90.00
loop_
_atom_site_label
_atom_site_fract_x
_atom_site_fract_y
_atom_site_fract_z
Cu1 0.000 0.000 0.000
Ni1 0.000 0.500 0.000
Ag1 0.250 0.250 0.500

***

[4]
# Tb4Pm2NdSm, optimized geometry, DFT GGA-PBE
# E_form ... 12 meV per atom
data_Tb4Pm2NdSm
_chemical_formula_sum 'Tb8 Pm4 Nd2 Sm2'
_symmetry_space_group_name_H-M 'P -1'
_symmetry_Int_Tables_number 2
_cell_length_a 7.220
_cell_length_b 7.230
_cell_length_c 10.160
_cell_angle_alpha 90.00
_cell_angle_beta 90.08
_cell_angle_gamma 90.07
loop_
_symmetry_equiv_pos_as_xyz
'x,y,z'
'-x,-y,-z'
loop_
_atom_site_label
_atom_site_fract_x
_atom_site_fract_y
_atom_site_fract_z
Tb1 0.249 0.250 0.250
Tb2 0.250 0.250 0.750
Tb3 0.250 0.750 0.250
Tb4 0.250 0.750 0.750
Pm1 0.000 0.000 0.000
Pm2 0.000 0.500 0.000
Pm3 0.000 0.500 0.500
Pm4 0.500 0.500 0.000
Nd1 0.500 0.000 0.000
Nd2 0.500 0.500 0.500
Sm1 0.000 0.000 0.500
Sm2 0.500 0.000 0.500

***

[5]
# TmSnPt2, optimized geometry, DFT GGA-PBE
# E_form ... -883 meV per atom
data_TmSnPt2
_chemical_formula_sum 'Tm1 Sn1 Pt2'
_symmetry_space_group_name_H-M 'P 4/m m m'
_symmetry_Int_Tables_number 123
_symmetry_space_group_name_Hall '-P 4 2'
_cell_length_a 4.598
_cell_length_b 4.598
_cell_length_c 3.680
_cell_angle_alpha 90.00
_cell_angle_beta 90.00
_cell_angle_gamma 90.00
loop_
_atom_site_label
_atom_site_fract_x
_atom_site_fract_y
_atom_site_fract_z
Tm1 0.000 0.000 0.000
Sn1 0.500 0.500 0.000
Pt1 0.000 0.500 0.500

***

[6]
# LiGa2Os2, optimized geometry, DFT GGA-PBE
# Offset from the most stable computed form ... 0.0 meV/atom
# E_form ... 84 meV per atom
data_LiGa2Os2
_chemical_formula_sum 'Li2 Ga4 Os4'
_symmetry_space_group_name_H-M 'P 4/m b m'
_symmetry_Int_Tables_number 127
_symmetry_space_group_name_Hall '-P 4 2ab'
_cell_length_a 7.546
_cell_length_b 7.546
_cell_length_c 2.726
_cell_angle_alpha 90.00
_cell_angle_beta 90.00
_cell_angle_gamma 90.00
loop_
_atom_site_label
_atom_site_fract_x
_atom_site_fract_y
_atom_site_fract_z
Li1 0.000 0.000 0.000
Ga1 0.165 0.335 0.000
Os1 0.131 0.631 0.500

***

[7]
# ZrAl2Cu2, optimized geometry, DFT GGA-PBE
# Offset from the most stable computed form ... 0.0 meV/atom
# E_form ... -326 meV per atom
data_ZrAl2Cu2
_chemical_formula_sum 'Zr2 Al4 Cu4'
_symmetry_space_group_name_H-M 'P 4/n m m'
_symmetry_Int_Tables_number 129
_cell_length_a 3.912
_cell_length_b 3.912
_cell_length_c 10.366
_cell_angle_alpha 90.00
_cell_angle_beta 90.00
_cell_angle_gamma 90.00
loop_
_symmetry_equiv_pos_as_xyz
'x,y,z'
'-x,-y,-z'
'-y+1/2,x,z'
'y+1/2,-x,-z'
'-x+1/2,-y+1/2,z'
'x+1/2,y+1/2,-z'
'y,-x+1/2,z'
'-y,x+1/2,-z'
'x+1/2,-y,-z'
'-x+1/2,y,z'
'-y,-x,-z'
'y,x,z'
'-x,y+1/2,-z'
'x,-y+1/2,z'
'y+1/2,x+1/2,-z'
'-y+1/2,-x+1/2,z'
loop_
_atom_site_label
_atom_site_fract_x
_atom_site_fract_y
_atom_site_fract_z
Zr1 0.250 0.250 0.247
Al1 0.250 0.250 0.638
Al2 0.250 0.750 0.000
Cu1 0.250 0.250 0.860
Cu2 0.250 0.750 0.500

***

[8]
# Ca3Ga2CuAu6, optimized geometry, DFT GGA-PBE
# E_form ... -445 meV per atom
data_Ca3Ga2CuAu6
_chemical_formula_sum 'Ca3 Ga2 Cu1 Au6'
_symmetry_space_group_name_H-M 'P -3 m 1'
_symmetry_Int_Tables_number 164
_symmetry_space_group_name_Hall '-P 3 2"'
_cell_length_a 5.8548
_cell_length_b 5.8548
_cell_length_c 8.9267
_cell_angle_alpha 90.00
_cell_angle_beta 90.00
_cell_angle_gamma 120.00
loop_
_atom_site_label
_atom_site_fract_x
_atom_site_fract_y
_atom_site_fract_z
Ca1 0.0000 0.0000 0.0000
Ca2 0.3333 0.6667 0.6048
Ga1 0.3333 0.6667 0.0235
Cu1 0.0000 0.0000 0.5000
Au1 0.1700 0.3401 0.2795

***

[9]
# Fe2Pb, optimized geometry, DFT GGA-PBE
# E_form ... 384 meV per atom
data_Fe2Pb
_chemical_formula_sum 'Fe8 Pb4'
_symmetry_space_group_name_H-M 'C m c m'
_symmetry_Int_Tables_number 63
_symmetry_space_group_name_Hall '-C 2c 2'
_cell_length_a 3.621
_cell_length_b 17.425
_cell_length_c 3.473
_cell_angle_alpha 90.00
_cell_angle_beta 90.00
_cell_angle_gamma 90.00
loop_
_atom_site_label
_atom_site_fract_x
_atom_site_fract_y
_atom_site_fract_z
Fe1 0.000 0.044 0.250
Fe2 0.000 0.455 0.250
Pb1 0.000 0.327 0.750

***

[10]
# InGeCl3, optimized geometry, DFT GGA-PBE
# Energy relative to the elements, uncorrected ... -71 kJ/mol of atoms
data_InGeCl3
_chemical_formula_sum 'In2 Ge2 Cl6'
_symmetry_space_group_name_H-M 'A m m 2'
_symmetry_Int_Tables_number 38
_cell_length_a 3.973
_cell_length_b 9.594
_cell_length_c 8.378
_cell_angle_alpha 90.00
_cell_angle_beta 90.00
_cell_angle_gamma 90.00
loop_
_symmetry_equiv_pos_as_xyz
'x,y,z'
'-x,-y,z'
'-x,y,z'
'x,-y,z'
'x,y+1/2,z+1/2'
'-x,-y+1/2,z+1/2'
'-x,y+1/2,z+1/2'
'x,-y+1/2,z+1/2'
loop_
_atom_site_label
_atom_site_fract_x
_atom_site_fract_y
_atom_site_fract_z
In1 0.000 0.000 0.000
Ge1 0.500 0.000 0.547
Cl1 0.000 0.188 0.559
Cl2 0.500 0.000 0.261

***

[11]
# CoHg2Os, optimized geometry, DFT GGA-PBE
# Offset from the most stable computed form ... 439.0 meV/atom
# E_form ... 894 meV per atom
data_CoHg2Os
_chemical_formula_sum 'Co2 Hg4 Os2'
_symmetry_space_group_name_H-M 'I 4/m m m'
_symmetry_Int_Tables_number 139
_symmetry_space_group_name_Hall '-I 4 2'
_cell_length_a 4.069
_cell_length_b 4.069
_cell_length_c 8.174
_cell_angle_alpha 90.00
_cell_angle_beta 90.00
_cell_angle_gamma 90.00
loop_
_atom_site_label
_atom_site_fract_x
_atom_site_fract_y
_atom_site_fract_z
Co1 0.000 0.000 0.000
Hg1 0.000 0.500 0.250
Os1 0.000 0.000 0.500

***

[12]
# Ti2AlO4, optimized geometry, DFT GGA-PBE
# Energy relative to the elements, uncorrected ... -235 kJ/mol of atoms
# Offset from the most stable computed form ... 338.2 meV/atom
data_Ti2AlO4
_chemical_formula_sum 'Ti8 Al4 O16'
_symmetry_space_group_name_H-M 'I 41/a'
_symmetry_Int_Tables_number 88
_cell_length_a 5.441
_cell_length_b 5.441
_cell_length_c 10.403
_cell_angle_alpha 90.00
_cell_angle_beta 90.00
_cell_angle_gamma 90.00
loop_
_symmetry_equiv_pos_as_xyz
'x,y,z'
'-x,-y,-z'
'-y+3/4,x+1/4,z+1/4'
'y+3/4,-x+1/4,-z+1/4'
'-x+1/2,-y,z+1/2'
'x+1/2,y,-z+1/2'
'y+3/4,-x+3/4,z+3/4'
'-y+3/4,x+3/4,-z+3/4'
'x+1/2,y+1/2,z+1/2'
'-x+1/2,-y+1/2,-z+1/2'
'-y+1/4,x+3/4,z+3/4'
'y+1/4,-x+3/4,-z+3/4'
'-x,-y+1/2,z'
'x,y+1/2,-z'
'y+1/4,-x+1/4,z+1/4'
'-y+1/4,x+1/4,-z+1/4'
loop_
_atom_site_label
_atom_site_fract_x
_atom_site_fract_y
_atom_site_fract_z
Ti1 0.000 0.000 0.000
Al1 0.000 0.250 0.625
O1 0.190 0.027 0.404

***

Question: What is the formula in the tenth record?
Answer: InGeCl3